Entry 1:
Ta2BeTe | PBEsol | relaxed

**Energy relative to the elements, uncorrected**: 1.78 eV/f.u.
**Offset from the most stable computed form**: 0.156 eV per atom

a b c (Å): 4.0709 4.0709 4.0148
angles (deg): 90.00 90.00 90.00
Sites, in units of the cell vectors:
Ta: 0.0000 0.5000 0.0000
Ta: 0.5000 0.0000 0.0000
Be: 0.0000 0.0000 0.5000
Te: 0.5000 0.5000 0.5000

---

Entry 2:
TaTi2Be2 | PBEsol | relaxed

**Energy of formation from the pure elements**: -42 meV/atom

a b c (Å): 6.7588 6.7588 2.9633
angles (deg): 90.00 90.00 90.00
Sites, in units of the cell vectors:
Ta: 0.0000 0.0000 0.0000
Ta: 0.5000 0.5000 0.0000
Ti: 0.1801 0.3199 0.5000
Ti: 0.3199 0.8199 0.5000
Ti: 0.6801 0.1801 0.5000
Ti: 0.8199 0.6801 0.5000
Be: 0.1135 0.6135 0.0000
Be: 0.3865 0.1135 0.0000
Be: 0.6135 0.8865 0.0000
Be: 0.8865 0.3865 0.0000